Material: Rb2CoRuF6
Method: DFT, GGA+U
State: optimized geometry

a = 5.911 Å, b = 5.911 Å, c = 5.988 Å
α = 60.42°, β = 60.42°, γ = 90.00°
Each line ends with the local moment (μB).
Positions (direct):
F  0.744  0.744  0.000  0.03
F  0.751  0.751  0.498  0.01
F  0.744  0.256  0.000  0.03
F  0.256  0.744  0.000  0.03
F  0.256  0.256  0.000  0.03
F  0.249  0.249  0.502  0.01
Rb  0.250  0.750  0.500  0.00
Rb  0.750  0.250  0.500  0.00
Ru  0.000  0.000  0.000  0.11
Co  0.500  0.500  0.000  2.72

Calculated values
SG ... I4/mmm
E_tot ... -4.81 eV/atom